Y3SbPd12 | PBE | relaxed

abc: 4.1215 4.1215 16.3946
angles: 90.00 90.00 90.00
Fractional coordinates of all 16 atoms:
Y 0.0000 0.0000 0.0000
Y 0.0000 0.0000 0.2501
Y 0.0000 0.0000 0.7499
Sb 0.0000 0.0000 0.5000
Pd 0.0000 0.5000 0.1267
Pd 0.0000 0.5000 0.3818
Pd 0.0000 0.5000 0.6182
Pd 0.0000 0.5000 0.8733
Pd 0.5000 0.0000 0.1267
Pd 0.5000 0.0000 0.3818
Pd 0.5000 0.0000 0.6182
Pd 0.5000 0.0000 0.8733
Pd 0.5000 0.5000 0.0000
Pd 0.5000 0.5000 0.2562
Pd 0.5000 0.5000 0.5000
Pd 0.5000 0.5000 0.7438

Calculated values
raw formation energy = -11.78 eV per formula unit
SG = P4/mmm
calculated total energy = -97.606 eV per cell